Record 1
# MnP2W | the Alexandria database | PBE-GGA | optimized geometry
# total magnetic moment	3.3	μB per cell
# energy of formation from the pure elements	-1.6	eV per formula unit
# final energy	-8.623	eV per atom
data_MnP2W
_space_group_name_H-M_alt 'I m m 2'
_space_group_IT_number 44
_space_group_name_Hall 'I 2 -2'
_cell_length_a 3.167
_cell_length_b 3.184
_cell_length_c 10.713
_cell_angle_alpha 90.00
_cell_angle_beta 90.00
_cell_angle_gamma 90.00
loop_
_atom_site_label
_atom_site_type_symbol
_atom_site_fract_x
_atom_site_fract_y
_atom_site_fract_z
Mn1 Mn 0.000 0.000 0.000
P1 P 0.000 0.000 0.430
P2 P 0.000 0.500 0.662
W1 W 0.000 0.500 0.256

Record 2
# SbTeOs2 | the Alexandria database | PBE-GGA | optimized geometry
# total magnetic moment	0.0	μB per cell
# energy relative to the lowest polymorph listed for this composition	0.879	eV/atom
# formation energy without anion corrections	1.272	eV per atom
# final energy	-6.159	eV per atom
data_SbTeOs2
_space_group_name_H-M_alt 'F -4 3 m'
_space_group_IT_number 216
_space_group_name_Hall 'F -4 2 3'
_cell_length_a 6.716
_cell_length_b 6.716
_cell_length_c 6.716
_cell_angle_alpha 90.00
_cell_angle_beta 90.00
_cell_angle_gamma 90.00
loop_
_atom_site_label
_atom_site_type_symbol
_atom_site_fract_x
_atom_site_fract_y
_atom_site_fract_z
Sb1 Sb 0.000 0.000 0.000
Te1 Te 0.250 0.250 0.750
Os1 Os 0.000 0.000 0.500
Os2 Os 0.250 0.250 0.250

Record 3
# Al6Fe5Os | the Alexandria database | PBE-GGA | optimized geometry
# total magnetic moment	4.2	μB per cell
# energy of formation from the pure elements	-4.0	eV per formula unit
# final energy	-6.667	eV per atom
data_Al6Fe5Os
_space_group_name_H-M_alt 'P 1 2/m 1'
_space_group_IT_number 10
_space_group_name_Hall '-P 2y'
_cell_length_a 4.094
_cell_length_b 5.863
_cell_length_c 6.467
_cell_angle_alpha 90.00
_cell_angle_beta 108.19
_cell_angle_gamma 90.00
loop_
_atom_site_label
_atom_site_type_symbol
_atom_site_fract_x
_atom_site_fract_y
_atom_site_fract_z
Al1 Al 0.000 0.240 0.000
Al2 Al 0.336 0.240 0.666
Fe1 Fe 0.166 0.000 0.336
Fe2 Fe 0.167 0.500 0.344
Fe3 Fe 0.500 0.000 0.000
Os1 Os 0.500 0.500 0.000

Record 4
# Ca2NdAs3Rh4 | the Alexandria database | PBE-GGA | optimized geometry
# total magnetic moment	0.0	μB per cell
# energy of formation from the pure elements	-8.1	eV per formula unit
# final energy	-6.019	eV per atom
data_Ca2NdAs3Rh4
_space_group_name_H-M_alt 'P -4 m 2'
_space_group_IT_number 115
_space_group_name_Hall 'P -4 -2'
_cell_length_a 4.185
_cell_length_b 4.185
_cell_length_c 11.324
_cell_angle_alpha 90.00
_cell_angle_beta 90.00
_cell_angle_gamma 90.00
loop_
_atom_site_label
_atom_site_type_symbol
_atom_site_fract_x
_atom_site_fract_y
_atom_site_fract_z
Ca1 Ca 0.000 0.500 0.225
Nd1 Nd 0.000 0.000 0.500
As1 As 0.000 0.500 0.875
As2 As 0.500 0.500 0.500
Rh1 Rh 0.000 0.000 0.000
Rh2 Rh 0.000 0.500 0.664
Rh3 Rh 0.500 0.500 0.000

Record 5
# Rb2LaUSe4 | the Alexandria database | PBE-GGA | optimized geometry
# total magnetic moment	3.0	μB per cell
# formation energy without anion corrections	-1.493	eV per atom
# final energy	-5.504	eV per atom
data_Rb2LaUSe4
_space_group_name_H-M_alt 'P 1 2/m 1'
_space_group_IT_number 10
_space_group_name_Hall '-P 2y'
_cell_length_a 7.598
_cell_length_b 4.377
_cell_length_c 8.407
_cell_angle_alpha 90.00
_cell_angle_beta 107.54
_cell_angle_gamma 90.00
loop_
_atom_site_label
_atom_site_type_symbol
_atom_site_fract_x
_atom_site_fract_y
_atom_site_fract_z
Rb1 Rb 0.000 0.000 0.000
Rb2 Rb 0.500 0.500 0.000
La1 La 0.000 0.500 0.500
U1 U 0.500 0.000 0.500
Se1 Se 0.243 0.000 0.702
Se2 Se 0.276 0.500 0.302

Record 6
# La6Sm12Tm | the Alexandria database | PBE-GGA | optimized geometry
# total magnetic moment	0.0	μB per cell
# energy relative to the lowest polymorph listed for this composition	0.000	eV/atom
# energy of formation from the pure elements	2.4	eV per formula unit
# final energy	-4.645	eV per atom
data_La6Sm12Tm
_space_group_name_H-M_alt 'R -3'
_space_group_IT_number 148
_space_group_name_Hall '-R 3'
_cell_length_a 12.3162
_cell_length_b 12.3162
_cell_length_c 15.2031
_cell_angle_alpha 90.00
_cell_angle_beta 90.00
_cell_angle_gamma 120.00
loop_
_atom_site_label
_atom_site_type_symbol
_atom_site_fract_x
_atom_site_fract_y
_atom_site_fract_z
La1 La 0.0128 0.4203 0.1857
Sm1 Sm 0.0028 0.1711 0.3104
Sm2 Sm 0.0505 0.8546 0.9164
Tm1 Tm 0.0000 0.0000 0.5000

Record 7
# Mn2SnBr6 | the Alexandria database | PBE-GGA | optimized geometry
# total magnetic moment	20.0	μB per cell
# energy relative to the lowest polymorph listed for this composition	0.000	eV/atom
# formation energy without anion corrections	-0.767	eV per atom
# final energy	-4.364	eV per atom
data_Mn2SnBr6
_space_group_name_H-M_alt 'C 1 2/m 1'
_space_group_IT_number 12
_space_group_name_Hall '-C 2y'
_cell_length_a 17.987
_cell_length_b 4.004
_cell_length_c 8.609
_cell_angle_alpha 90.00
_cell_angle_beta 105.22
_cell_angle_gamma 90.00
loop_
_atom_site_label
_atom_site_type_symbol
_atom_site_fract_x
_atom_site_fract_y
_atom_site_fract_z
Mn1 Mn 0.171 0.000 0.343
Sn1 Sn 0.000 0.500 0.000
Br1 Br 0.015 0.000 0.265
Br2 Br 0.172 0.500 0.128
Br3 Br 0.174 0.500 0.561

Record 8
# Mo2WAu | the Alexandria database | PBE-GGA | optimized geometry
# total magnetic moment	0.0	μB per cell
# energy relative to the lowest polymorph listed for this composition	0.333	eV/atom
# energy of formation from the pure elements	1.9	eV per formula unit
# final energy	-8.993	eV per atom
data_Mo2WAu
_space_group_name_H-M_alt 'F -4 3 m'
_space_group_IT_number 216
_space_group_name_Hall 'F -4 2 3'
_cell_length_a 6.410
_cell_length_b 6.410
_cell_length_c 6.410
_cell_angle_alpha 90.00
_cell_angle_beta 90.00
_cell_angle_gamma 90.00
loop_
_atom_site_label
_atom_site_type_symbol
_atom_site_fract_x
_atom_site_fract_y
_atom_site_fract_z
Mo1 Mo 0.000 0.000 0.000
Mo2 Mo 0.250 0.250 0.250
W1 W 0.250 0.250 0.750
Au1 Au 0.000 0.000 0.500

Record 9
# RbReSe2 | the Alexandria database | PBE-GGA | optimized geometry
# total magnetic moment	0.0	μB per cell
# energy relative to the lowest polymorph listed for this composition	0.000	eV/atom
# formation energy without anion corrections	-0.224	eV per atom
# final energy	-5.320	eV per atom
data_RbReSe2
_space_group_name_H-M_alt 'I -4 2 d'
_space_group_IT_number 122
_space_group_name_Hall 'I -4 2bw'
_cell_length_a 7.627
_cell_length_b 7.627
_cell_length_c 8.317
_cell_angle_alpha 90.00
_cell_angle_beta 90.00
_cell_angle_gamma 90.00
loop_
_atom_site_label
_atom_site_type_symbol
_atom_site_fract_x
_atom_site_fract_y
_atom_site_fract_z
Rb1 Rb 0.000 0.000 0.000
Re1 Re 0.000 0.000 0.500
Se1 Se 0.134 0.250 0.625

Record 10
# SrLa2Os | the Alexandria database | PBE-GGA | optimized geometry
# total magnetic moment	0.0	μB per cell
# energy relative to the lowest polymorph listed for this composition	0.076	eV/atom
# energy of formation from the pure elements	0.1	eV per formula unit
# final energy	-5.677	eV per atom
data_SrLa2Os
_space_group_name_H-M_alt 'C m m m'
_space_group_IT_number 65
_space_group_name_Hall '-C 2 2'
_cell_length_a 5.084
_cell_length_b 5.104
_cell_length_c 10.580
_cell_angle_alpha 90.00
_cell_angle_beta 90.00
_cell_angle_gamma 90.00
loop_
_atom_site_label
_atom_site_type_symbol
_atom_site_fract_x
_atom_site_fract_y
_atom_site_fract_z
Sr1 Sr 0.000 0.000 0.000
La1 La 0.000 0.500 0.339
Os1 Os 0.000 0.000 0.500

Record 11
# Zn2Sn2Bi | the Alexandria database | PBE-GGA | optimized geometry
# total magnetic moment	0.0	μB per cell
# energy relative to the lowest polymorph listed for this composition	0.022	eV/atom
# energy of formation from the pure elements	0.7	eV per formula unit
# final energy	-2.754	eV per atom
data_Zn2Sn2Bi
_space_group_name_H-M_alt 'P 4/m b m'
_space_group_IT_number 127
_space_group_name_Hall '-P 4 2ab'
_cell_length_a 8.679
_cell_length_b 8.679
_cell_length_c 3.274
_cell_angle_alpha 90.00
_cell_angle_beta 90.00
_cell_angle_gamma 90.00
loop_
_atom_site_label
_atom_site_type_symbol
_atom_site_fract_x
_atom_site_fract_y
_atom_site_fract_z
Zn1 Zn 0.116 0.384 0.000
Sn1 Sn 0.178 0.678 0.500
Bi1 Bi 0.000 0.000 0.500

Record 12
# CeSbI | the Alexandria database | PBE-GGA | optimized geometry
# total magnetic moment	0.7	μB per cell
# energy relative to the lowest polymorph listed for this composition	0.147	eV/atom
# formation energy without anion corrections	-0.588	eV per atom
# final energy	-4.456	eV per atom
data_CeSbI
_space_group_name_H-M_alt 'P -6 m 2'
_space_group_IT_number 187
_space_group_name_Hall 'P -6 2'
_cell_length_a 5.3637
_cell_length_b 5.3637
_cell_length_c 3.7718
_cell_angle_alpha 90.00
_cell_angle_beta 90.00
_cell_angle_gamma 120.00
loop_
_atom_site_label
_atom_site_type_symbol
_atom_site_fract_x
_atom_site_fract_y
_atom_site_fract_z
Ce1 Ce 0.0000 0.0000 0.0000
Sb1 Sb 0.6667 0.3333 0.5000
I1 I 0.3333 0.6667 0.0000